# 1
Entry from Alexandria via LeMat-Bulk: MnSi2 after structural relaxation (PBE).

The uncorrected formation energy comes out at 66 meV/atom. For the magnetic moment, the calculation gives 0.00 μB/cell. As for the volume: 11.8 A^3/atom.

It has space group I4_1/amd (No. 141, origin choice 2), with a = 3.772 Å, b = 3.772 Å, c = 19.936 Å, α = 90.00°, β = 90.00° and γ = 90.00°. The asymmetric unit holds Mn at (0.000, 0.250, 0.304), Si at (0.000, 0.250, 0.126) and Si at (0.000, 0.250, 0.788).

# 2
Entry from Alexandria via LeMat-Bulk: Li2AgMo after structural relaxation (PBE).

The calculation puts the energy relative to the elements at 0.364 eV per atom. The polymorph energy (0 for the lowest one) comes out at 0.756 eV per formula unit. For the magnetic moment, the calculation gives 0.32 μB/cell. As for the volume: 16.1 A^3/atom.

It has space group Pmm2 (No. 25), with a = 2.603 Å, b = 4.381 Å, c = 5.634 Å, α = 90.00°, β = 90.00° and γ = 90.00°. The asymmetric unit holds Li at (0.000, 0.000, 0.000), Li at (0.500, 0.500, 0.232), Ag at (0.500, 0.500, 0.733) and Mo at (0.000, 0.000, 0.506).

Repeat the first record exactly.
Entry from Alexandria via LeMat-Bulk: MnSi2 after structural relaxation (PBE).

The uncorrected formation energy comes out at 66 meV/atom. For the magnetic moment, the calculation gives 0.00 μB/cell. As for the volume: 11.8 A^3/atom.

It has space group I4_1/amd (No. 141, origin choice 2), with a = 3.772 Å, b = 3.772 Å, c = 19.936 Å, α = 90.00°, β = 90.00° and γ = 90.00°. The asymmetric unit holds Mn at (0.000, 0.250, 0.304), Si at (0.000, 0.250, 0.126) and Si at (0.000, 0.250, 0.788).

Copy entry 1 word for word.
Entry from Alexandria via LeMat-Bulk: MnSi2 after structural relaxation (PBE).

The uncorrected formation energy comes out at 66 meV/atom. For the magnetic moment, the calculation gives 0.00 μB/cell. As for the volume: 11.8 A^3/atom.

It has space group I4_1/amd (No. 141, origin choice 2), with a = 3.772 Å, b = 3.772 Å, c = 19.936 Å, α = 90.00°, β = 90.00° and γ = 90.00°. The asymmetric unit holds Mn at (0.000, 0.250, 0.304), Si at (0.000, 0.250, 0.126) and Si at (0.000, 0.250, 0.788).

What did the second record say?
Entry from Alexandria via LeMat-Bulk: Li2AgMo after structural relaxation (PBE).

The calculation puts the energy relative to the elements at 0.364 eV per atom. The polymorph energy (0 for the lowest one) comes out at 0.756 eV per formula unit. For the magnetic moment, the calculation gives 0.32 μB/cell. As for the volume: 16.1 A^3/atom.

It has space group Pmm2 (No. 25), with a = 2.603 Å, b = 4.381 Å, c = 5.634 Å, α = 90.00°, β = 90.00° and γ = 90.00°. The asymmetric unit holds Li at (0.000, 0.000, 0.000), Li at (0.500, 0.500, 0.232), Ag at (0.500, 0.500, 0.733) and Mo at (0.000, 0.000, 0.506).

Please write out number 1 again, unchanged.
Entry from Alexandria via LeMat-Bulk: MnSi2 after structural relaxation (PBE).

The uncorrected formation energy comes out at 66 meV/atom. For the magnetic moment, the calculation gives 0.00 μB/cell. As for the volume: 11.8 A^3/atom.

It has space group I4_1/amd (No. 141, origin choice 2), with a = 3.772 Å, b = 3.772 Å, c = 19.936 Å, α = 90.00°, β = 90.00° and γ = 90.00°. The asymmetric unit holds Mn at (0.000, 0.250, 0.304), Si at (0.000, 0.250, 0.126) and Si at (0.000, 0.250, 0.788).